# 1
A plane-wave DFT calculation with PBE was carried out for YCSeN2 after structural relaxation.

## Properties
Its calculated volume is 63.25 Å³/cell. For the relative energy among the computed polymorphs, the calculation gives 0.0000 eV per atom. Its crystal system is tetragonal. The calculation puts the uncorrected formation energy at 1241 meV/atom. For the density of states at the Fermi level, the calculation gives 3.39 states/eV per cell. The raw total energy comes out at -29.617 eV for the cell shown. The value obtained for the density is 5.5 Mg/m³.

a = 3.9611 Å, b = 3.9611 Å, c = 4.0312 Å
α = 90.00°, β = 90.00°, γ = 90.00°
Last column: nearest neighbours and their distance in Å.
Space group P4/mmm (No. 123)
Unique sites:
Y  0.0000  0.0000  0.0000  4 Se 2.80, 8 N 2.83
C  0.5000  0.5000  0.5000  4 N 1.98, 2 Se 2.02
Se  0.5000  0.5000  0.0000  2 C 2.02
N  0.0000  0.5000  0.5000  2 C 1.98



# 2
A plane-wave DFT calculation with PBE was carried out for Y8C3Se3N after structural relaxation.

## Properties
Its calculated volume is 939.56 Å³/cell. Its crystal system is trigonal. The calculation puts the uncorrected formation energy at -1143 meV/atom. For the density of states at the Fermi level, the calculation gives 20.71 states/eV per cell. The raw total energy comes out at -345.915 eV for the cell shown. The value obtained for the density is 5.3 Mg/m³.

a = 7.4356 Å, b = 7.4356 Å, c = 19.6223 Å
α = 90.00°, β = 90.00°, γ = 120.00°
Last column: nearest neighbours and their distance in Å.
Space group R-3m (No. 166, hexagonal axes)
Unique sites:
Y  0.0000  0.0000  0.2346  3 C 2.53
Y  0.0023  0.5012  0.7658  2 C 2.52, 1 N 2.54
C  0.0000  0.5000  0.5000  6 Y 2.52-2.53
Se  0.0000  0.5000  0.0000  6 Y 2.89-2.90
N  0.0000  0.0000  0.5000  6 Y 2.54



# 3
A plane-wave DFT calculation with PBE was carried out for Y8CSe4N3 after structural relaxation.

## Properties
Its calculated volume is 930.94 Å³/cell. Its crystal system is trigonal. The calculation puts the uncorrected formation energy at -1585 meV/atom. For the density of states at the Fermi level, the calculation gives 15.07 states/eV per cell. The raw total energy comes out at -375.649 eV for the cell shown. The value obtained for the density is 5.8 Mg/m³.

a = 7.4127 Å, b = 7.4127 Å, c = 19.5629 Å
α = 90.00°, β = 90.00°, γ = 120.00°
Last column: nearest neighbours and their distance in Å.
Space group R-3m (No. 166, hexagonal axes)
Unique sites:
Y  0.0000  0.0000  0.2331  3 N 2.50
Y  0.0005  0.5002  0.2338  1 C 2.51, 2 N 2.51
C  0.0000  0.0000  0.5000  6 Y 2.51
Se  0.0000  0.0000  0.0000  6 Y 2.90
Se  0.0000  0.5000  0.0000  6 Y 2.89-2.90
N  0.0000  0.5000  0.5000  6 Y 2.50-2.51